DFT (PBE) results for a relaxed Cs3NiTe crystal.

abc: 5.9796 5.9796 5.9796
angles: 90.00 90.00 90.00
Fractional positions:
1 Ni 0.0000 0.0000 0.0000
2 Cs 0.0000 0.0000 0.5000
3 Cs 0.0000 0.5000 0.0000
4 Cs 0.5000 0.0000 0.0000
5 Te 0.5000 0.5000 0.5000

Results
For the energy relative to the lowest polymorph listed for this composition, the calculation gives 0.00 eV/f.u. As for the space group: Pm-3m, No. 221.